Record 1
# PrSmCd4

A relaxed structure of PrSmCd4 (PBE-GGA, the Open Quantum Materials Database).

a b c (Å): 3.4086 5.0243 8.6924
angles (deg): 90.00 90.02 90.00
Element x y z (fractional)
1 Pr 0.0000 0.0000 0.0000
2 Sm 0.0000 0.5000 0.5000
3 Cd 0.4972 0.0000 0.6641
4 Cd 0.4974 0.5000 0.1695
5 Cd 0.5028 0.0000 0.3359
6 Cd 0.5026 0.5000 0.8305

Output
For the magnetic moment, the calculation gives 0.025 μB/cell. The formation energy is -2.09 eV/f.u. The calculation puts the calculated density at 8.26 g/cm³. Its space-group type is P2/m (10).

---

Record 2
# PrSmCd2Sn2

A relaxed structure of PrSmCd2Sn2 (PBE-GGA, the Open Quantum Materials Database).

a b c (Å): 4.8100 4.8100 16.2629
angles (deg): 90.00 90.00 120.00
Element x y z (fractional)
1 Pr 0.0000 0.0000 0.2500
2 Pr 0.0000 0.0000 0.7500
3 Sm 0.0000 0.0000 0.0000
4 Sm 0.0000 0.0000 0.5000
5 Cd 0.3333 0.6667 0.1511
6 Cd 0.3333 0.6667 0.3489
7 Cd 0.6667 0.3333 0.6511
8 Cd 0.6667 0.3333 0.8489
9 Sn 0.3333 0.6667 0.6069
10 Sn 0.3333 0.6667 0.8931
11 Sn 0.6667 0.3333 0.1069
12 Sn 0.6667 0.3333 0.3931

Output
For the magnetic moment, the calculation gives 0.001 μB/cell. The calculation puts the calculated density at 7.68 g/cm³. Its space-group type is P6_3/mmc (194).

---

Record 3
# PrSmCd2Sn2

A relaxed structure of PrSmCd2Sn2 (PBE-GGA, the Open Quantum Materials Database).

a b c (Å): 4.7990 4.7990 16.3555
angles (deg): 90.00 90.00 120.00
Element x y z (fractional)
1 Pr 0.0000 0.0000 0.0000
2 Pr 0.0000 0.0000 0.5000
3 Sm 0.0000 0.0000 0.2500
4 Sm 0.0000 0.0000 0.7500
5 Cd 0.3333 0.6667 0.1548
6 Cd 0.3333 0.6667 0.3452
7 Cd 0.6667 0.3333 0.6548
8 Cd 0.6667 0.3333 0.8452
9 Sn 0.3333 0.6667 0.6109
10 Sn 0.3333 0.6667 0.8891
11 Sn 0.6667 0.3333 0.1109
12 Sn 0.6667 0.3333 0.3891

Output
For the magnetic moment, the calculation gives 0.006 μB/cell. The calculation puts the calculated density at 7.67 g/cm³. Its space-group type is P6_3/mmc (194).

---

Record 4
# PrSmTl2Cd2

A relaxed structure of PrSmTl2Cd2 (PBE-GGA, the Open Quantum Materials Database).

a b c (Å): 4.9533 4.9533 7.6696
angles (deg): 90.00 90.00 120.00
Element x y z (fractional)
1 Pr 0.0000 0.0000 0.0000
2 Sm 0.0000 0.0000 0.4998
3 Tl 0.3333 0.6667 0.7051
4 Tl 0.6667 0.3333 0.2117
5 Cd 0.3333 0.6667 0.2930
6 Cd 0.6667 0.3333 0.7864

Output
For the magnetic moment, the calculation gives 0.001 μB/cell. The calculation puts the calculated density at 9.42 g/cm³. Its space-group type is P3m1 (156).

---

Record 5
# PrCd2Sn

A relaxed structure of PrCd2Sn (PBE-GGA, the Open Quantum Materials Database).

a b c (Å): 4.5821 4.5821 4.9025
angles (deg): 90.00 90.00 90.00
Element x y z (fractional)
1 Pr 0.0000 0.0000 0.0000
2 Cd 0.0000 0.5000 0.5000
3 Cd 0.5000 0.0000 0.5000
4 Sn 0.5000 0.5000 0.0000

Output
For the magnetic moment, the calculation gives 0.004 μB/cell. The calculation puts the calculated density at 7.82 g/cm³. Its space-group type is P4/mmm (123).

---

Record 6
# SrPr2Cd3

A relaxed structure of SrPr2Cd3 (PBE-GGA, the Open Quantum Materials Database).

a b c (Å): 3.8998 3.8998 11.9143
angles (deg): 90.00 90.00 90.00
Element x y z (fractional)
1 Sr 0.0000 0.0000 0.0000
2 Pr 0.0000 0.0000 0.3397
3 Pr 0.0000 0.0000 0.6603
4 Cd 0.5000 0.5000 0.1827
5 Cd 0.5000 0.5000 0.5000
6 Cd 0.5000 0.5000 0.8173

Output
For the magnetic moment, the calculation gives 0.215 μB/cell. The calculation puts the calculated density at 6.48 g/cm³. Its space-group type is P4/mmm (123).

---

Record 7
# PrTaCd

A relaxed structure of PrTaCd (PBE-GGA, the Open Quantum Materials Database).

a b c (Å): 7.0950 7.0950 7.0950
angles (deg): 90.00 90.00 90.00
Element x y z (fractional)
1 Pr 0.0000 0.0000 0.0000
2 Pr 0.0000 0.5000 0.5000
3 Pr 0.5000 0.0000 0.5000
4 Pr 0.5000 0.5000 0.0000
5 Ta 0.2500 0.2500 0.2500
6 Ta 0.2500 0.7500 0.7500
7 Ta 0.7500 0.2500 0.7500
8 Ta 0.7500 0.7500 0.2500
9 Cd 0.2500 0.2500 0.7500
10 Cd 0.2500 0.7500 0.2500
11 Cd 0.7500 0.2500 0.2500
12 Cd 0.7500 0.7500 0.7500

Output
For the magnetic moment, the calculation gives 9.265 μB/cell. The formation energy is 4.00 eV/f.u. The calculation puts the calculated density at 8.08 g/cm³. Its space-group type is F-43m (216).

---

Record 8
# PrCdTc

A relaxed structure of PrCdTc (PBE-GGA, the Open Quantum Materials Database).

a b c (Å): 6.8765 6.8765 6.8765
angles (deg): 90.00 90.00 90.00
Element x y z (fractional)
1 Pr 0.0000 0.0000 0.0000
2 Pr 0.0000 0.5000 0.5000
3 Pr 0.5000 0.0000 0.5000
4 Pr 0.5000 0.5000 0.0000
5 Cd 0.2500 0.2500 0.7500
6 Cd 0.2500 0.7500 0.2500
7 Cd 0.7500 0.2500 0.2500
8 Cd 0.7500 0.7500 0.7500
9 Tc 0.2500 0.2500 0.2500
10 Tc 0.2500 0.7500 0.7500
11 Tc 0.7500 0.2500 0.7500
12 Tc 0.7500 0.7500 0.2500

Output
For the magnetic moment, the calculation gives 7.916 μB/cell. The formation energy is 3.39 eV/f.u. The calculation puts the calculated density at 7.18 g/cm³. Its space-group type is F-43m (216).

---

Record 9
# PrTlCdTe3

A relaxed structure of PrTlCdTe3 (PBE-GGA, the Open Quantum Materials Database).

a b c (Å): 8.9087 4.5744 11.2637
angles (deg): 90.00 105.94 90.00
Element x y z (fractional)
1 Pr 0.1942 0.2500 0.1372
2 Pr 0.8058 0.7500 0.8628
3 Tl 0.2438 0.7500 0.7158
4 Tl 0.7562 0.2500 0.2842
5 Cd 0.4216 0.7500 0.3895
6 Cd 0.5784 0.2500 0.6105
7 Te 0.0513 0.2500 0.8476
8 Te 0.2538 0.2500 0.4461
9 Te 0.4496 0.7500 0.1453
10 Te 0.5504 0.2500 0.8547
11 Te 0.7462 0.7500 0.5539
12 Te 0.9487 0.7500 0.1524

Output
For the magnetic moment, the calculation gives 0.008 μB/cell. The calculation puts the calculated density at 6.32 g/cm³. Its space-group type is P2_1/m (11).

---

Record 10
# PrTlCdTe3

A relaxed structure of PrTlCdTe3 (PBE-GGA, the Open Quantum Materials Database).

a b c (Å): 10.0150 10.0150 9.8687
angles (deg): 104.24 104.24 26.33
Element x y z (fractional)
1 Pr 0.1766 0.1766 0.0973
2 Pr 0.8234 0.8234 0.9027
3 Tl 0.1343 0.1343 0.5750
4 Tl 0.8657 0.8657 0.4250
5 Cd 0.4805 0.4805 0.7832
6 Cd 0.5195 0.5195 0.2168
7 Te 0.0000 0.0000 0.0000
8 Te 0.3271 0.3271 0.6810
9 Te 0.3413 0.3413 0.1369
10 Te 0.5000 0.5000 0.5000
11 Te 0.6587 0.6587 0.8631
12 Te 0.6729 0.6729 0.3190

Output
For the magnetic moment, the calculation gives 0.014 μB/cell. The calculation puts the calculated density at 6.57 g/cm³. Its space-group type is C2/m (12).

---

Record 11
# PrTlCdTe3

A relaxed structure of PrTlCdTe3 (PBE-GGA, the Open Quantum Materials Database).

a b c (Å): 15.5227 4.5737 12.2024
angles (deg): 90.00 90.00 90.00
Element x y z (fractional)
1 Pr 0.0286 0.2500 0.1569
2 Pr 0.4714 0.7500 0.6569
3 Pr 0.5286 0.2500 0.3431
4 Pr 0.9714 0.7500 0.8431
5 Tl 0.2403 0.2500 0.4571
6 Tl 0.2597 0.7500 0.9571
7 Tl 0.7403 0.2500 0.0429
8 Tl 0.7597 0.7500 0.5429
9 Cd 0.0187 0.7500 0.3989
10 Cd 0.4813 0.2500 0.8989
11 Cd 0.5187 0.7500 0.1011
12 Cd 0.9813 0.2500 0.6011
13 Te 0.0953 0.7500 0.6201
14 Te 0.1033 0.2500 0.9178
15 Te 0.1563 0.7500 0.2451
16 Te 0.3437 0.2500 0.7451
17 Te 0.3967 0.7500 0.4178
18 Te 0.4047 0.2500 0.1201
19 Te 0.5953 0.7500 0.8799
20 Te 0.6033 0.2500 0.5822
21 Te 0.6563 0.7500 0.2549
22 Te 0.8437 0.2500 0.7549
23 Te 0.8967 0.7500 0.0822
24 Te 0.9047 0.2500 0.3799

Output
For the magnetic moment, the calculation gives 0.006 μB/cell. The calculation puts the calculated density at 6.44 g/cm³. Its space-group type is Pnma (62).

---

Record 12
# PrTlCdTe3

A relaxed structure of PrTlCdTe3 (PBE-GGA, the Open Quantum Materials Database).

a b c (Å): 8.1017 8.1017 12.0056
angles (deg): 90.00 90.00 147.36
Element x y z (fractional)
1 Pr 0.0000 0.0000 0.0000
2 Pr 0.0000 0.0000 0.5000
3 Tl 0.2405 0.7595 0.7500
4 Tl 0.7595 0.2405 0.2500
5 Cd 0.4658 0.5342 0.2500
6 Cd 0.5342 0.4658 0.7500
7 Te 0.0813 0.9187 0.2500
8 Te 0.3602 0.6398 0.0579
9 Te 0.3602 0.6398 0.4421
10 Te 0.6398 0.3602 0.5579
11 Te 0.6398 0.3602 0.9421
12 Te 0.9187 0.0813 0.7500

Output
For the magnetic moment, the calculation gives 0.003 μB/cell. The calculation puts the calculated density at 6.57 g/cm³. Its space-group type is Cmcm (63).

---

The records above give, respectively, total energy values of -2.5257, -3.7775, -3.7853, -3.0362, -3.1063, -2.6540, -4.5059, -4.2122, -3.7326, -3.6657, -3.7383, -3.7490 eV per atom.